# K2YSe2O6 (GGA-PBE, relaxed)
data_K2YSe2O6
_cell_length_a 6.220
_cell_length_b 5.603
_cell_length_c 7.223
_cell_angle_alpha 108.02
_cell_angle_beta 90.00
_cell_angle_gamma 123.72
_symmetry_space_group_name_H-M 'P 1'
_symmetry_Int_Tables_number 1
loop_
_symmetry_equiv_pos_as_xyz
'x,y,z'
loop_
_atom_site_label
_atom_site_fract_x
_atom_site_fract_y
_atom_site_fract_z
_atom_site_occupancy
O1 0.771 0.047 0.747 1
O2 0.724 0.953 0.253 1
O3 0.276 0.047 0.747 1
O4 0.241 0.482 0.453 1
K1 0.301 0.603 0.859 1
O5 0.229 0.953 0.253 1
Se1 0.924 0.849 0.761 1
K2 0.699 0.397 0.141 1
Y1 0.500 0.000 0.500 1
O6 0.759 0.518 0.547 1
Se2 0.076 0.151 0.239 1
# Formation energy from raw total energies, eV per atom: -1.58